1.
# SrCa2TiAg SCAN PBEsol geometry
# V = 184.18 Å³/cell
# E = -17.429 eV per atom
# energy relative to the elements = 36 kJ per mole of atoms
# D(E_F) = 2.6 states/eV/f.u.
# M_tot = 3.3 μB per formula unit
data_SrCa2TiAg
_chemical_formula_sum 'Sr1 Ca2 Ti1 Ag1'
_cell_length_a 5.6196
_cell_length_b 5.6196
_cell_length_c 5.8322
_cell_angle_alpha 90.00
_cell_angle_beta 90.00
_cell_angle_gamma 90.00
_space_group_name_H-M_alt 'P 1'
_space_group_IT_number 1
_space_group_name_Hall 'P 1'
loop_
_atom_site_label
_atom_site_fract_x
_atom_site_fract_y
_atom_site_fract_z
Sr1 0.0000 0.0000 0.0000
Ca1 0.0000 0.5000 0.5000
Ca2 0.5000 0.0000 0.5000
Ti1 0.5000 0.5000 0.0000
Ag1 0.0000 0.0000 0.5000


2.
# Cs2K2Hg SCAN PBEsol geometry
# V = 662.50 Å³/cell
# E = -32.128 eV per atom
# energy relative to the elements = -4 kJ per mole of atoms
# D(E_F) = 3.7 states/eV/f.u.
# M_tot = 0.7 μB per formula unit
data_Cs2K2Hg
_chemical_formula_sum 'Cs4 K4 Hg2'
_cell_length_a 9.3677
_cell_length_b 9.3677
_cell_length_c 7.5495
_cell_angle_alpha 90.00
_cell_angle_beta 90.00
_cell_angle_gamma 90.00
_space_group_name_H-M_alt 'P 1'
_space_group_IT_number 1
_space_group_name_Hall 'P 1'
loop_
_atom_site_label
_atom_site_fract_x
_atom_site_fract_y
_atom_site_fract_z
Cs1 0.1855 0.3145 0.0000
Cs2 0.3145 0.8145 0.0000
Cs3 0.6855 0.1855 0.0000
Cs4 0.8145 0.6855 0.0000
K1 0.1600 0.6600 0.5000
K2 0.3400 0.1600 0.5000
K3 0.6600 0.8400 0.5000
K4 0.8400 0.3400 0.5000
Hg1 0.0000 0.0000 0.5000
Hg2 0.5000 0.5000 0.5000


3.
# BiOsWCl2 SCAN PBEsol geometry
# V = 118.60 Å³/cell
# E = -45.793 eV per atom
# D(E_F) = 4.3 states/eV/f.u.
# M_tot = 3.3 μB per formula unit
data_BiOsWCl2
_chemical_formula_sum 'Bi1 Os1 W1 Cl2'
_cell_length_a 4.4633
_cell_length_b 4.4633
_cell_length_c 5.9532
_cell_angle_alpha 90.00
_cell_angle_beta 90.00
_cell_angle_gamma 90.00
_space_group_name_H-M_alt 'P 1'
_space_group_IT_number 1
_space_group_name_Hall 'P 1'
loop_
_atom_site_label
_atom_site_fract_x
_atom_site_fract_y
_atom_site_fract_z
Bi1 0.0000 0.0000 0.0000
Os1 0.0000 0.0000 0.5000
W1 0.5000 0.5000 0.0000
Cl1 0.0000 0.5000 0.5000
Cl2 0.5000 0.0000 0.5000


4.
# YCd2Hg SCAN PBEsol geometry
# V = 349.28 Å³/cell
# E = -39.647 eV per atom
# energy relative to the elements = -42 kJ per mole of atoms
# D(E_F) = 1.0 states/eV/f.u.
# M_tot = 0.0 μB per formula unit
data_YCd2Hg
_chemical_formula_sum 'Y4 Cd8 Hg4'
_cell_length_a 7.0425
_cell_length_b 7.0425
_cell_length_c 7.0425
_cell_angle_alpha 90.00
_cell_angle_beta 90.00
_cell_angle_gamma 90.00
_space_group_name_H-M_alt 'P 1'
_space_group_IT_number 1
_space_group_name_Hall 'P 1'
loop_
_atom_site_label
_atom_site_fract_x
_atom_site_fract_y
_atom_site_fract_z
Y1 0.0000 0.0000 0.0000
Y2 0.0000 0.5000 0.5000
Y3 0.5000 0.0000 0.5000
Y4 0.5000 0.5000 0.0000
Cd1 0.0000 0.0000 0.5000
Cd2 0.0000 0.5000 0.0000
Cd3 0.2500 0.2500 0.2500
Cd4 0.2500 0.7500 0.7500
Cd5 0.5000 0.0000 0.0000
Cd6 0.5000 0.5000 0.5000
Cd7 0.7500 0.2500 0.7500
Cd8 0.7500 0.7500 0.2500
Hg1 0.2500 0.2500 0.7500
Hg2 0.2500 0.7500 0.2500
Hg3 0.7500 0.2500 0.2500
Hg4 0.7500 0.7500 0.7500


5.
# BaLi3Mg SCAN PBEsol geometry
# V = 158.51 Å³/cell
# E = -10.204 eV per atom
# energy relative to the elements = 13 kJ per mole of atoms
# D(E_F) = 4.2 states/eV/f.u.
# M_tot = 0.0 μB per formula unit
data_BaLi3Mg
_chemical_formula_sum 'Ba1 Li3 Mg1'
_cell_length_a 5.4119
_cell_length_b 5.4119
_cell_length_c 5.4119
_cell_angle_alpha 90.00
_cell_angle_beta 90.00
_cell_angle_gamma 90.00
_space_group_name_H-M_alt 'P 1'
_space_group_IT_number 1
_space_group_name_Hall 'P 1'
loop_
_atom_site_label
_atom_site_fract_x
_atom_site_fract_y
_atom_site_fract_z
Ba1 0.0000 0.0000 0.0000
Li1 0.0000 0.5000 0.5000
Li2 0.5000 0.0000 0.5000
Li3 0.5000 0.5000 0.0000
Mg1 0.5000 0.5000 0.5000


6.
# ZrFe2Se SCAN PBEsol geometry
# V = 110.72 Å³/cell
# E = -21.742 eV per atom
# D(E_F) = 1.9 states/eV/f.u.
# M_tot = 3.9 μB per formula unit
data_ZrFe2Se
_chemical_formula_sum 'Zr2 Fe4 Se2'
_cell_length_a 3.6165
_cell_length_b 3.6165
_cell_length_c 8.4649
_cell_angle_alpha 90.00
_cell_angle_beta 90.00
_cell_angle_gamma 90.00
_space_group_name_H-M_alt 'P 1'
_space_group_IT_number 1
_space_group_name_Hall 'P 1'
loop_
_atom_site_label
_atom_site_fract_x
_atom_site_fract_y
_atom_site_fract_z
Zr1 0.0000 0.0000 0.0000
Zr2 0.5000 0.5000 0.5000
Fe1 0.0000 0.0000 0.5000
Fe2 0.0000 0.5000 0.2500
Fe3 0.5000 0.0000 0.7500
Fe4 0.5000 0.5000 0.0000
Se1 0.0000 0.5000 0.7500
Se2 0.5000 0.0000 0.2500